No. 1
DFT (PBE-GGA) results for a relaxed KSnPbCl5 crystal. Values from VASP.

Output
**Energy relative to the elements, uncorrected**: -10.3 eV/f.u.
**Calculated total energy**: -3.54 eV per atom

Geometry as Quantum ESPRESSO input:
```
&SYSTEM
  ibrav = 0, nat = 16, ntyp = 4
/
ATOMIC_SPECIES
K 39.10 K.upf
Sn 118.71 Sn.upf
Pb 207.20 Pb.upf
Cl 35.45 Cl.upf
ATOMIC_POSITIONS crystal
K 0.0733 0.9267 0.7500
K 0.9267 0.0733 0.2500
Sn 0.4928 0.5072 0.7500
Sn 0.5072 0.4928 0.2500
Pb 0.0000 0.5000 0.0000
Pb 0.5000 0.0000 0.5000
Cl 0.1922 0.2241 0.0837
Cl 0.2049 0.7951 0.2500
Cl 0.2241 0.1922 0.5837
Cl 0.3021 0.6436 0.9122
Cl 0.3564 0.6979 0.5878
Cl 0.6436 0.3021 0.4122
Cl 0.6979 0.3564 0.0878
Cl 0.7759 0.8078 0.4163
Cl 0.7951 0.2049 0.7500
Cl 0.8078 0.7759 0.9163
CELL_PARAMETERS angstrom
5.2030 -5.7503 0.0000
5.2030 5.7503 0.0000
-4.0942 0.0000 9.4434
```

---

No. 2
DFT (PBE-GGA) results for a relaxed K2SnPbCl6 crystal. Values from VASP.

Output
**Energy relative to the elements, uncorrected**: -14.5 eV/f.u.
**Calculated total energy**: -3.55 eV per atom

Geometry as Quantum ESPRESSO input:
```
&SYSTEM
  ibrav = 0, nat = 10, ntyp = 4
/
ATOMIC_SPECIES
K 39.10 K.upf
Sn 118.71 Sn.upf
Pb 207.20 Pb.upf
Cl 35.45 Cl.upf
ATOMIC_POSITIONS crystal
K 0.0000 0.0000 0.0000
K 0.4988 0.4988 0.4988
Sn 0.7120 0.7120 0.7120
Pb 0.2130 0.2130 0.2130
Cl 0.0736 0.4331 0.8575
Cl 0.3643 0.9276 0.5776
Cl 0.4331 0.8575 0.0736
Cl 0.5776 0.3643 0.9276
Cl 0.8575 0.0736 0.4331
Cl 0.9276 0.5776 0.3643
CELL_PARAMETERS angstrom
3.8645 2.2312 6.5022
-3.8645 2.2312 6.5022
0.0000 -4.4624 6.5022
```

---

No. 3
DFT (PBE-GGA) results for a relaxed KSn2PbCl8 crystal. Values from VASP.

Output
**Energy relative to the elements, uncorrected**: -13.6 eV/f.u.
**Calculated total energy**: -3.43 eV per atom

Geometry as Quantum ESPRESSO input:
```
&SYSTEM
  ibrav = 0, nat = 12, ntyp = 4
/
ATOMIC_SPECIES
K 39.10 K.upf
Sn 118.71 Sn.upf
Pb 207.20 Pb.upf
Cl 35.45 Cl.upf
ATOMIC_POSITIONS crystal
K 0.0000 0.0000 0.0000
Sn 0.5000 0.2508 0.5000
Sn 0.5000 0.7492 0.5000
Pb 0.0000 0.5000 0.0000
Cl 0.2404 0.2661 0.1887
Cl 0.2404 0.7339 0.1887
Cl 0.2817 0.5000 0.6701
Cl 0.3026 0.0000 0.6483
Cl 0.6974 0.0000 0.3517
Cl 0.7183 0.5000 0.3299
Cl 0.7596 0.2661 0.8113
Cl 0.7596 0.7339 0.8113
CELL_PARAMETERS angstrom
6.6250 0.0000 0.0000
0.0000 8.7216 0.0000
-0.1521 0.0000 6.8306
```

---

No. 4
DFT (PBE-GGA) results for a relaxed KSr2PbCl8 crystal. Values from VASP.

Output
**Energy relative to the elements, uncorrected**: -21.6 eV/f.u.
**Calculated total energy**: -3.71 eV per atom

Geometry as Quantum ESPRESSO input:
```
&SYSTEM
  ibrav = 0, nat = 12, ntyp = 4
/
ATOMIC_SPECIES
K 39.10 K.upf
Sr 87.62 Sr.upf
Pb 207.20 Pb.upf
Cl 35.45 Cl.upf
ATOMIC_POSITIONS crystal
K 0.0000 0.0000 0.0000
Sr 0.5000 0.2480 0.5000
Sr 0.5000 0.7520 0.5000
Pb 0.0000 0.5000 0.0000
Cl 0.2321 0.2804 0.8425
Cl 0.2321 0.7196 0.8425
Cl 0.2604 0.5000 0.3322
Cl 0.2781 0.0000 0.3552
Cl 0.7219 0.0000 0.6448
Cl 0.7396 0.5000 0.6678
Cl 0.7679 0.2804 0.1575
Cl 0.7679 0.7196 0.1575
CELL_PARAMETERS angstrom
6.6283 0.0000 0.0000
0.0000 9.0695 0.0000
-0.0145 0.0000 6.7720
```

---

No. 5
DFT (PBE-GGA) results for a relaxed K2SrPbCl6 crystal. Values from VASP.

Output
**Energy relative to the elements, uncorrected**: -18.8 eV/f.u.
**Calculated total energy**: -3.75 eV per atom

Geometry as Quantum ESPRESSO input:
```
&SYSTEM
  ibrav = 0, nat = 20, ntyp = 4
/
ATOMIC_SPECIES
K 39.10 K.upf
Sr 87.62 Sr.upf
Pb 207.20 Pb.upf
Cl 35.45 Cl.upf
ATOMIC_POSITIONS crystal
K 0.2226 0.0734 0.2490
K 0.2226 0.4266 0.7490
K 0.7774 0.5734 0.2510
K 0.7774 0.9266 0.7510
Sr 0.5000 0.0000 0.0000
Sr 0.5000 0.5000 0.5000
Pb 0.0000 0.0000 0.5000
Pb 0.0000 0.5000 0.0000
Cl 0.1270 0.1969 0.9335
Cl 0.1270 0.3031 0.4335
Cl 0.2400 0.6988 0.9322
Cl 0.2400 0.8012 0.4322
Cl 0.3776 0.0515 0.7501
Cl 0.3776 0.4485 0.2501
Cl 0.6224 0.5515 0.7499
Cl 0.6224 0.9485 0.2499
Cl 0.7600 0.1988 0.5678
Cl 0.7600 0.3012 0.0678
Cl 0.8730 0.6969 0.5665
Cl 0.8730 0.8031 0.0665
CELL_PARAMETERS angstrom
7.5591 0.0000 0.0000
0.0000 7.9684 0.0000
-7.4897 0.0000 10.8996
```

---

No. 6
DFT (PBE-GGA) results for a relaxed KTePbCl crystal. Values from VASP.

Output
**Distance to the lowest polymorph of the same formula**: 0.000 eV per atom
**Energy relative to the elements, uncorrected**: -4.2 eV/f.u.
**Calculated total energy**: -3.50 eV per atom

Geometry as Quantum ESPRESSO input:
```
&SYSTEM
  ibrav = 0, nat = 4, ntyp = 4
/
ATOMIC_SPECIES
K 39.10 K.upf
Te 127.60 Te.upf
Pb 207.20 Pb.upf
Cl 35.45 Cl.upf
ATOMIC_POSITIONS crystal
K 0.0000 0.0000 0.0000
Te 0.3333 0.6667 0.6814
Pb 0.0000 0.0000 0.4792
Cl 0.3333 0.6667 0.1974
CELL_PARAMETERS angstrom
4.4698 0.0000 0.0000
-2.2349 3.8710 0.0000
0.0000 0.0000 8.4897
```

---

No. 7
DFT (PBE-GGA) results for a relaxed KTePbCl crystal. Values from VASP.

Output
**Distance to the lowest polymorph of the same formula**: 0.146 eV per atom
**Energy relative to the elements, uncorrected**: -3.6 eV/f.u.
**Calculated total energy**: -3.35 eV per atom

Geometry as Quantum ESPRESSO input:
```
&SYSTEM
  ibrav = 0, nat = 4, ntyp = 4
/
ATOMIC_SPECIES
K 39.10 K.upf
Te 127.60 Te.upf
Pb 207.20 Pb.upf
Cl 35.45 Cl.upf
ATOMIC_POSITIONS crystal
K 0.0000 0.0000 0.0000
Te 0.7500 0.7500 0.7500
Pb 0.5000 0.5000 0.5000
Cl 0.2500 0.2500 0.2500
CELL_PARAMETERS angstrom
0.0000 3.9460 3.9460
3.9460 0.0000 3.9460
3.9460 3.9460 0.0000
```

---

No. 8
DFT (PBE-GGA) results for a relaxed KTiPbCl6 crystal. Values from VASP.

Output
**Energy relative to the elements, uncorrected**: -13.8 eV/f.u.
**Calculated total energy**: -4.17 eV per atom

Geometry as Quantum ESPRESSO input:
```
&SYSTEM
  ibrav = 0, nat = 18, ntyp = 4
/
ATOMIC_SPECIES
K 39.10 K.upf
Ti 47.87 Ti.upf
Pb 207.20 Pb.upf
Cl 35.45 Cl.upf
ATOMIC_POSITIONS crystal
K 0.0000 0.0000 0.0000
K 0.0000 0.0000 0.5000
Ti 0.3333 0.6667 0.2500
Ti 0.6667 0.3333 0.7500
Pb 0.3333 0.6667 0.7500
Pb 0.6667 0.3333 0.2500
Cl 0.0486 0.3910 0.1412
Cl 0.0486 0.6576 0.3588
Cl 0.3424 0.3910 0.3588
Cl 0.3424 0.9514 0.1412
Cl 0.3910 0.0486 0.6412
Cl 0.3910 0.3424 0.8588
Cl 0.6090 0.6576 0.1412
Cl 0.6090 0.9514 0.3588
Cl 0.6576 0.0486 0.8588
Cl 0.6576 0.6090 0.6412
Cl 0.9514 0.3424 0.6412
Cl 0.9514 0.6090 0.8588
CELL_PARAMETERS angstrom
7.0978 0.0000 0.0000
-3.5489 6.1469 0.0000
0.0000 0.0000 13.1045
```

---

No. 9
DFT (PBE-GGA) results for a relaxed K2TlPbCl5 crystal. Values from VASP.

Output
**Energy relative to the elements, uncorrected**: -13.2 eV/f.u.
**Calculated total energy**: -3.41 eV per atom

Geometry as Quantum ESPRESSO input:
```
&SYSTEM
  ibrav = 0, nat = 18, ntyp = 4
/
ATOMIC_SPECIES
K 39.10 K.upf
Tl 204.38 Tl.upf
Pb 207.20 Pb.upf
Cl 35.45 Cl.upf
ATOMIC_POSITIONS crystal
K 0.0523 0.9477 0.5000
K 0.1518 0.8482 0.0949
K 0.8482 0.1518 0.5949
K 0.9477 0.0523 0.0000
Tl 0.4429 0.5571 0.2758
Tl 0.5571 0.4429 0.7758
Pb 0.2597 0.7403 0.8721
Pb 0.7403 0.2597 0.3721
Cl 0.1014 0.8986 0.9018
Cl 0.2333 0.7667 0.5000
Cl 0.2545 0.7455 0.2532
Cl 0.4133 0.5867 0.8682
Cl 0.4713 0.5287 0.6065
Cl 0.5287 0.4713 0.1065
Cl 0.5867 0.4133 0.3682
Cl 0.7455 0.2545 0.7532
Cl 0.7667 0.2333 0.0000
Cl 0.8986 0.1014 0.4018
CELL_PARAMETERS angstrom
2.1911 -9.1489 0.0000
2.1911 9.1489 0.0000
0.0000 0.0000 16.2119
```

---

No. 10
DFT (PBE-GGA) results for a relaxed KTlPb2Cl6 crystal. Values from VASP.

Output
**Energy relative to the elements, uncorrected**: -13.0 eV/f.u.
**Calculated total energy**: -3.50 eV per atom

Geometry as Quantum ESPRESSO input:
```
&SYSTEM
  ibrav = 0, nat = 10, ntyp = 4
/
ATOMIC_SPECIES
K 39.10 K.upf
Tl 204.38 Tl.upf
Pb 207.20 Pb.upf
Cl 35.45 Cl.upf
ATOMIC_POSITIONS crystal
K 0.0000 0.0000 0.0000
Tl 0.5018 0.5018 0.5018
Pb 0.2867 0.2867 0.2867
Pb 0.7858 0.7858 0.7858
Cl 0.0695 0.4236 0.6459
Cl 0.1347 0.9351 0.5673
Cl 0.4236 0.6459 0.0695
Cl 0.5673 0.1347 0.9351
Cl 0.6459 0.0695 0.4236
Cl 0.9351 0.5673 0.1347
CELL_PARAMETERS angstrom
3.8967 2.2498 6.5602
-3.8967 2.2498 6.5602
0.0000 -4.4996 6.5602
```

---

No. 11
DFT (PBE-GGA) results for a relaxed K2Tl3PbCl6 crystal. Values from VASP.

Output
**Energy relative to the elements, uncorrected**: -14.4 eV/f.u.
**Calculated total energy**: -3.21 eV per atom

Geometry as Quantum ESPRESSO input:
```
&SYSTEM
  ibrav = 0, nat = 12, ntyp = 4
/
ATOMIC_SPECIES
K 39.10 K.upf
Tl 204.38 Tl.upf
Pb 207.20 Pb.upf
Cl 35.45 Cl.upf
ATOMIC_POSITIONS crystal
K 0.1649 0.8351 0.0000
K 0.8351 0.1649 0.0000
Tl 0.0000 0.0000 0.5000
Tl 0.3245 0.6755 0.5000
Tl 0.6755 0.3245 0.5000
Pb 0.5000 0.5000 0.0000
Cl 0.1133 0.4268 0.7838
Cl 0.2652 0.2652 0.2249
Cl 0.4268 0.1133 0.7838
Cl 0.5732 0.8867 0.2162
Cl 0.7348 0.7348 0.7751
Cl 0.8867 0.5732 0.2162
CELL_PARAMETERS angstrom
3.7502 -6.5559 0.0000
3.7502 6.5559 0.0000
-2.5815 0.0000 8.0941
```